# Sm2Ti3Ge4

Sm2Ti3Ge4 after structural relaxation (PBE-GGA, Alexandria).

Computed properties:
Its formation energy is -773 meV per atom. As for the space group: P2_1/c. The volume is 19.4 A^3/atom. The total magnetic moment is 0.00 μB per atom.

a b c (Å): 7.0876 7.2414 7.2276
angles (deg): 90.00 90.00 109.52
Positions (direct):
Sm 0.5620 0.1876 0.3307
Sm 0.0620 0.1876 0.1693
Ge 0.1351 0.9085 0.4541
Sm 0.4380 0.8124 0.6693
Ge 0.3625 0.4979 0.3662
Ti 0.7496 0.2575 0.8314
Ge 0.8649 0.0915 0.5459
Ge 0.6351 0.9085 0.0459
Ge 0.1375 0.5021 0.8662
Ti 0.2504 0.7425 0.1686
Ti 0.5000 0.5000 0.0000
Ti 0.2496 0.2575 0.6686
Ge 0.3649 0.0915 0.9541
Ge 0.8625 0.4979 0.1338
Ti 0.7504 0.7425 0.3314
Sm 0.9380 0.8124 0.8307
Ti 0.0000 0.5000 0.5000
Ge 0.6375 0.5021 0.6338

# MnTcAu

MnTcAu after structural relaxation (PBE-GGA, Alexandria).

Computed properties:
For the energy above the most stable polymorph in this dataset, the calculation gives 0.004 eV/atom. Its formation energy is 228 meV per atom. As for the space group: Imm2. The volume is 15.2 A^3/atom. The total magnetic moment is 0.44 μB per atom.

a b c (Å): 4.9726 4.9726 4.9726
angles (deg): 146.04 138.10 54.99
Last column: magnetic moment on the atom in μB.
Positions (direct):
Mn 0.3182 0.3182 0.0000  2.67
Au 0.9966 0.9966 0.0000  -0.09
Tc 0.6852 0.6852 0.0000  -1.24

# Li2CdSe

Li2CdSe after structural relaxation (PBE-GGA, Alexandria).

Computed properties:
For the energy above the most stable polymorph in this dataset, the calculation gives 0.099 eV/atom. As for the space group: P2/m. The uncorrected formation energy comes out at -231 kJ/mol of formula units. The volume is 18.7 A^3/atom. The total magnetic moment is 0.00 μB per atom.

a b c (Å): 3.6154 3.2766 7.1223
angles (deg): 62.41 90.00 90.00
Positions (direct):
Se 0.5000 0.2500 0.2500
Li 0.0000 0.5487 0.4529
Cd 0.5000 0.7500 0.7500
Li 0.0000 0.9513 0.0471

# VFe4Ru

VFe4Ru after structural relaxation (PBE-GGA, Alexandria).

Computed properties:
Its formation energy is 5 meV per atom. As for the space group: F-43m. The volume is 12.0 A^3/atom. The total magnetic moment is 1.01 μB per atom.

a b c (Å): 4.6649 4.6649 4.6649
angles (deg): 60.00 60.00 60.00
Last column: magnetic moment on the atom in μB.
Positions (direct):
Fe 0.6250 0.6250 0.6250  1.68
Fe 0.6250 0.1249 0.6250  1.68
Fe 0.6250 0.6250 0.1249  1.68
V 0.2500 0.2500 0.2500  -0.92
Ru 0.0000 0.0000 0.0000  0.39
Fe 0.1249 0.6250 0.6250  1.68